1 | Compound: TaAlTc
Source: the Alexandria database
Functional: meta-GGA SCAN
Structure: single point on PBEsol structure

Values from the calculation:
- DOS(E_F) (states/eV per atom) = 1.0648
- space-group type = I4mm, No. 107
- total magnetic moment (Bohr magnetons per cell) = 0.01

Lattice parameters (Å, degrees): 3.2110 3.2110 5.0312 108.61 108.61 90.00
Element x y z (fractional)
1 Ta 0.6778 0.6778 0.3555
2 Al 0.9931 0.9931 0.9862
3 Tc 0.3292 0.3292 0.6583



2 | Compound: TaAlTc
Source: the Alexandria database
Functional: meta-GGA SCAN
Structure: single point on PBEsol structure

Values from the calculation:
- DOS(E_F) (states/eV per atom) = 1.5214
- space-group type = P3m1, No. 156
- total magnetic moment (Bohr magnetons per cell) = 0.00

Lattice parameters (Å, degrees): 2.8418 2.8418 6.7213 90.00 90.00 120.00
Element x y z (fractional)
1 Al 0.0000 0.0000 0.0140
2 Tc 0.6667 0.3333 0.3250
3 Ta 0.3333 0.6667 0.6610



Going by the energies, 1 is most stable and the next is 0.415 eV/atom up.



1 | Compound: Ta2AlTe
Source: the Alexandria database
Functional: meta-GGA SCAN
Structure: single point on PBEsol structure

Values from the calculation:
- DOS(E_F) (states/eV per atom) = 0.7449
- space-group type = P2/m, No. 10
- total magnetic moment (Bohr magnetons per cell) = 0.00

Lattice parameters (Å, degrees): 3.0358 4.3268 5.6970 90.00 102.65 90.00
Element x y z (fractional)
1 Te 0.5000 0.5000 0.0000
2 Al 0.0000 0.5000 0.5000
3 Ta 0.7345 0.0000 0.7388
4 Ta 0.2655 0.0000 0.2612



2 | Compound: Ta2AlTe
Source: the Alexandria database
Functional: meta-GGA SCAN
Structure: single point on PBEsol structure

Values from the calculation:
- DOS(E_F) (states/eV per atom) = 0.5312
- space-group type = R3m, No. 160
- total magnetic moment (Bohr magnetons per cell) = 0.00

Lattice parameters (Å, degrees): 3.2404 3.2404 8.9483 79.57 79.57 60.00
Element x y z (fractional)
1 Te 0.4933 0.4933 0.5201
2 Al 0.2568 0.2568 0.2297
3 Ta 0.0025 0.0025 0.9924
4 Ta 0.7474 0.7474 0.7578



3 | Compound: Ta2AlTe
Source: the Alexandria database
Functional: meta-GGA SCAN
Structure: single point on PBEsol structure

Values from the calculation:
- DOS(E_F) (states/eV per atom) = 0.5455
- space-group type = Cm, No. 8
- total magnetic moment (Bohr magnetons per cell) = 0.00

Lattice parameters (Å, degrees): 3.1844 4.8364 5.0965 102.99 108.20 90.00
Element x y z (fractional)
1 Te 0.4987 0.5348 0.9974
2 Al 0.7500 0.2074 0.5001
3 Ta 0.0100 0.0461 0.0200
4 Ta 0.2412 0.7117 0.4825



Going by the energies, 3 is most stable and the next is 0.032 eV/atom up.



1 | Compound: YTaAl2
Source: the Alexandria database
Functional: meta-GGA SCAN
Structure: single point on PBEsol structure

Values from the calculation:
- DOS(E_F) (states/eV per atom) = 0.3478
- space-group type = P4/mmm, No. 123
- total magnetic moment (Bohr magnetons per cell) = 0.00

Lattice parameters (Å, degrees): 3.4734 3.4734 6.3902 90.00 90.00 90.00
Element x y z (fractional)
1 Y 0.5000 0.5000 0.5000
2 Al 0.0000 0.0000 0.7970
3 Al 0.0000 0.0000 0.2030
4 Ta 0.5000 0.5000 0.0000



2 | Compound: YTaAl2
Source: the Alexandria database
Functional: meta-GGA SCAN
Structure: single point on PBEsol structure

Values from the calculation:
- DOS(E_F) (states/eV per atom) = 0.6021
- space-group type = Cmmm, No. 65
- total magnetic moment (Bohr magnetons per cell) = 0.00

Lattice parameters (Å, degrees): 2.9685 5.1461 5.1461 107.74 90.00 90.00
Element x y z (fractional)
1 Y 0.5000 0.5000 0.5000
2 Al 0.0000 0.5000 0.0000
3 Al 0.0000 0.0000 0.5000
4 Ta 0.5000 0.0000 0.0000



Going by the energies, 1 is most stable and the next is 0.081 eV/atom up.



1 | Compound: ZrAl2Tc
Source: the Alexandria database
Functional: meta-GGA SCAN
Structure: single point on PBEsol structure

Values from the calculation:
- DOS(E_F) (states/eV per atom) = 0.7358
- space-group type = R-3m, No. 166
- total magnetic moment (Bohr magnetons per cell) = 0.00

Lattice parameters (Å, degrees): 2.9174 2.9174 9.1937 80.87 80.87 60.00
Element x y z (fractional)
1 Tc 0.5000 0.5000 0.5000
2 Zr 0.0000 0.0000 0.0000
3 Al 0.2403 0.2403 0.2790
4 Al 0.7597 0.7597 0.7210



2 | Compound: ZrAl2Tc
Source: the Alexandria database
Functional: meta-GGA SCAN
Structure: single point on PBEsol structure

Values from the calculation:
- DOS(E_F) (states/eV per atom) = 0.5558
- space-group type = Pm, No. 6
- total magnetic moment (Bohr magnetons per cell) = 0.00

Lattice parameters (Å, degrees): 2.9484 4.3658 5.0798 90.00 97.52 90.00
Element x y z (fractional)
1 Tc 0.4841 0.0000 0.4660
2 Zr 0.2999 0.5000 0.7665
3 Al 0.8668 0.0000 0.9918
4 Al 0.8492 0.5000 0.2757



Going by the energies, 2 is most stable and the next is 0.199 eV/atom up.



1 | Compound: AlTl2Te
Source: the Alexandria database
Functional: meta-GGA SCAN
Structure: single point on PBEsol structure

Values from the calculation:
- DOS(E_F) (states/eV per atom) = 0.3898
- space-group type = P4/mmm, No. 123
- total magnetic moment (Bohr magnetons per cell) = 0.00

Lattice parameters (Å, degrees): 4.6142 4.6142 5.1128 90.00 90.00 90.00
Element x y z (fractional)
1 Tl 0.0000 0.5000 0.0000
2 Tl 0.5000 0.0000 0.0000
3 Te 0.0000 0.0000 0.5000
4 Al 0.5000 0.5000 0.5000



2 | Compound: AlTl2Te
Source: the Alexandria database
Functional: meta-GGA SCAN
Structure: single point on PBEsol structure

Values from the calculation:
- DOS(E_F) (states/eV per atom) = 0.3621
- space-group type = I4/mmm, No. 139
- total magnetic moment (Bohr magnetons per cell) = 0.00

Lattice parameters (Å, degrees): 4.4843 4.4843 6.2267 111.11 111.11 90.00
Element x y z (fractional)
1 Tl 0.7500 0.2500 0.5000
2 Tl 0.2500 0.7500 0.5000
3 Te 0.0000 0.0000 0.0000
4 Al 0.5000 0.5000 0.0000



3 | Compound: AlTl2Te
Source: the Alexandria database
Functional: meta-GGA SCAN
Structure: single point on PBEsol structure

Values from the calculation:
- DOS(E_F) (states/eV per atom) = 0.3405
- space-group type = I-4m2, No. 119
- total magnetic moment (Bohr magnetons per cell) = 0.00

Lattice parameters (Å, degrees): 4.6222 4.6222 6.0615 112.41 112.41 90.00
Element x y z (fractional)
1 Tl 0.0000 0.0000 0.0000
2 Tl 0.7500 0.2500 0.5000
3 Te 0.2500 0.7500 0.5000
4 Al 0.5000 0.5000 0.0000



Going by the energies, 2 is most stable and the next is 0.011 eV/atom up.



1 | Compound: Zr2AlTe
Source: the Alexandria database
Functional: meta-GGA SCAN
Structure: single point on PBEsol structure

Values from the calculation:
- DOS(E_F) (states/eV per atom) = 0.6814
- space-group type = Pmmm, No. 47
- total magnetic moment (Bohr magnetons per cell) = 0.00

Lattice parameters (Å, degrees): 3.3946 3.8508 6.2760 90.00 90.00 90.00
Element x y z (fractional)
1 Te 0.5000 0.5000 0.5000
2 Al 0.5000 0.5000 0.0000
3 Zr 0.0000 0.0000 0.7580
4 Zr 0.0000 0.0000 0.2420



2 | Compound: Zr2AlTe
Source: the Alexandria database
Functional: meta-GGA SCAN
Structure: single point on PBEsol structure

Values from the calculation:
- DOS(E_F) (states/eV per atom) = 0.6729
- space-group type = R-3m, No. 166
- total magnetic moment (Bohr magnetons per cell) = 0.00

Lattice parameters (Å, degrees): 3.8857 3.8857 7.2084 74.36 74.36 60.00
Element x y z (fractional)
1 Te 0.0000 0.0000 0.0000
2 Al 0.5000 0.5000 0.5000
3 Zr 0.2421 0.2421 0.2736
4 Zr 0.7579 0.7579 0.7264



Going by the energies, 1 is most stable and the next is 0.007 eV/atom up.